[1]
## Er6ThIn3 (PBE)

Data for a geometry-optimized Er6ThIn3 structure.

abc: 5.133 9.939 11.189
angles: 100.25 90.00 90.00
Sites, in units of the cell vectors:
Er  0.250  0.272  0.515
Er  0.750  0.178  0.717
In  0.250  0.360  0.806
Er  0.250  0.140  0.221
In  0.750  0.239  0.028
Er  0.750  0.728  0.485
Er  0.250  0.072  0.906
Er  0.250  0.641  0.689
Er  0.750  0.928  0.094
In  0.750  0.640  0.194
Th  0.250  0.954  0.595
In  0.250  0.541  0.389
Er  0.250  0.449  0.095
Er  0.750  0.860  0.779
Er  0.750  0.359  0.311
In  0.250  0.761  0.972
In  0.750  0.459  0.611
Er  0.250  0.822  0.283
Th  0.750  0.046  0.405
Er  0.750  0.551  0.905

## Properties
The value obtained for the volume is 562 Å³ per cell. For the density of states at the Fermi level, the calculation gives 1.110 states/eV per atom. The mass density comes out at 9.34 g/cm3. The space group is P2_1/m (11). For the energy of formation, the calculation gives -26.1 kJ per mole of atoms.

---

[2]
## YGeAu2 (PBE)

Data for a geometry-optimized YGeAu2 structure.

abc: 4.664 4.664 9.358
angles: 75.57 75.57 90.00
Sites, in units of the cell vectors:
Au  0.200  0.625  0.250
Y  0.750  0.250  0.500
Y  0.000  0.000  0.000
Ge  0.500  0.500  0.000
Au  0.375  0.450  0.750
Au  0.550  0.125  0.250
Au  0.875  0.800  0.750
Ge  0.250  0.750  0.500

## Properties
The value obtained for the volume is 190 Å³ per cell. For the density of states at the Fermi level, the calculation gives 0.810 states/eV per atom. The mass density comes out at 9.69 g/cm3. The space group is I-42d (122). For the energy of formation, the calculation gives -33.4 kJ per mole of atoms.

---

[3]
## Re2TeW (PBE)

Data for a geometry-optimized Re2TeW structure.

abc: 5.008 5.008 4.716
angles: 80.59 80.59 35.66
Sites, in units of the cell vectors:
Re  0.737  0.737  0.798
W  0.263  0.263  0.242
Te  0.502  0.502  0.490
Re  0.998  0.998  0.970

## Properties
The value obtained for the volume is 68 Å³ per cell. For the density of states at the Fermi level, the calculation gives 0.617 states/eV per atom. The calculation puts the total DFT energy (no corrections) at -0.707 Ry/atom. The mass density comes out at 16.71 g/cm3. The space group is Cm (8).

---

[4]
## CaU2FeN4 (PBE)

Data for a geometry-optimized CaU2FeN4 structure.

abc: 3.445 5.955 11.275
angles: 90.00 90.00 106.81
Last column: magnetic moment on the atom in μB.
Sites, in units of the cell vectors:
N  0.437  0.875  0.750  0.07
U  0.631  0.261  0.441  -1.02
U  0.631  0.261  0.059  -1.02
Fe  0.833  0.666  0.750  1.91
U  0.369  0.739  0.941  -1.02
N  0.263  0.527  0.394  0.06
Ca  0.098  0.196  0.750  -0.01
N  0.737  0.473  0.894  0.06
N  0.737  0.473  0.606  0.06
N  0.563  0.125  0.250  0.07
Ca  0.902  0.804  0.250  -0.01
N  0.000  0.000  0.000  0.08
N  0.000  0.000  0.500  0.08
N  0.263  0.527  0.106  0.06
U  0.369  0.739  0.559  -1.02
Fe  0.167  0.334  0.250  1.91

## Properties
The value obtained for the volume is 221 Å³ per cell. For the density of states at the Fermi level, the calculation gives 0.576 states/eV per atom. The calculation puts the total DFT energy (no corrections) at -0.690 Ry/atom. The mass density comes out at 9.42 g/cm3. The space group is Cmcm (63).

---

> What is the volume in the fourth record?

221 Å³ per cell